CsSc2Ga (PBE, optimized geometry); space group = R-3m (166); distance to the lowest polymorph of the same formula = 0 meV/atom; crystal system = trigonal; calculated formation energy = 183 meV/atom; final energy = -0.145 hartree per atom
1.0
2.0240 0.0000 11.0657
-1.0120 1.7529 11.0657
-1.0120 -1.7529 11.0657
Cs Sc Ga
1 2 1
direct
0.0000 0.0000 0.0000 Cs
0.8920 0.8920 0.8920 Sc
0.1080 0.1080 0.1080 Sc
0.5000 0.5000 0.5000 Ga

***

Cs2ScGa (PBE, optimized geometry); space group = Fm-3m (225); crystal system = cubic; calculated formation energy = 805 meV/atom; final energy = -0.072 hartree per atom
1.0
0.0000 4.5254 4.5254
4.5254 0.0000 4.5254
4.5254 4.5254 0.0000
Cs Sc Ga
2 1 1
direct
0.2500 0.2500 0.2500 Cs
0.7500 0.7500 0.7500 Cs
0.0000 0.0000 0.0000 Sc
0.5000 0.5000 0.5000 Ga

***

Cs2ScGaTe4 (PBE, optimized geometry); space group = Fddd (70); raw formation energy = -0.969 eV per atom; crystal system = orthorhombic; final energy = -0.144 hartree per atom
1.0
6.5788 0.0000 0.0000
3.2894 7.8804 0.0000
3.2894 0.0000 13.9440
Cs Sc Ga Te
4 2 2 8
direct
0.1806 0.0000 0.6388 Cs
0.8194 0.0000 0.3612 Cs
0.5694 0.5000 0.8612 Cs
0.9306 0.5000 0.1388 Cs
0.7500 0.5000 0.5000 Sc
0.0000 0.0000 0.0000 Sc
0.2500 0.5000 0.5000 Ga
0.5000 0.0000 0.0000 Ga
0.3085 0.8023 0.1087 Te
0.2194 0.1977 0.8913 Te
0.8892 0.8023 0.8913 Te
0.5828 0.1977 0.1087 Te
0.4415 0.6977 0.3913 Te
0.5306 0.3023 0.6087 Te
0.8608 0.6977 0.6087 Te
0.1672 0.3023 0.3913 Te

***

CsScGaTe4 (PBE, optimized geometry); space group = P2_1/m (11); raw formation energy = -0.752 eV per atom; crystal system = monoclinic; final energy = -0.147 hartree per atom
1.0
-4.8861 4.6232 3.2068
-4.9891 -3.4632 -2.6089
1.8401 -7.8798 6.9412
Cs Sc Ga Te
2 2 2 8
direct
0.7741 0.7500 0.9497 Cs
0.2259 0.2500 0.0503 Cs
0.7462 0.7500 0.4507 Sc
0.2538 0.2500 0.5493 Sc
0.2606 0.7500 0.3397 Ga
0.7394 0.2500 0.6603 Ga
0.0241 0.5119 0.6882 Te
0.9759 0.0119 0.3118 Te
0.9759 0.4881 0.3118 Te
0.0241 0.9881 0.6882 Te
0.4650 0.7500 0.1840 Te
0.5350 0.2500 0.8160 Te
0.4487 0.7500 0.5858 Te
0.5513 0.2500 0.4142 Te

***

Cs2GaSe2 (PBE, optimized geometry); space group = P2_1/c (14); raw formation energy = -0.969 eV per atom; distance to the lowest polymorph of the same formula = 0 meV/atom; crystal system = monoclinic; final energy = -0.122 hartree per atom
1.0
-7.7390 2.2182 1.1675
-2.5540 -5.1806 -7.0863
2.5382 -8.9388 5.6202
Cs Ga Se
8 4 8
direct
0.5303 0.2508 0.0607 Cs
0.0303 0.2492 0.0607 Cs
0.9697 0.7508 0.9393 Cs
0.4697 0.7492 0.9393 Cs
0.9114 0.5896 0.3208 Cs
0.4114 0.9104 0.3208 Cs
0.5886 0.0896 0.6792 Cs
0.0886 0.4104 0.6792 Cs
0.4444 0.4217 0.3913 Ga
0.5556 0.5783 0.6087 Ga
0.9444 0.0783 0.3913 Ga
0.0556 0.9217 0.6087 Ga
0.8362 0.9554 0.1755 Se
0.3362 0.5446 0.1755 Se
0.6638 0.4554 0.8245 Se
0.1638 0.0446 0.8245 Se
0.7104 0.2508 0.4208 Se
0.2104 0.2492 0.4208 Se
0.7896 0.7508 0.5792 Se
0.2896 0.7492 0.5792 Se

***

CsGa2Se3 (PBE, optimized geometry); space group = C2/m (12); raw formation energy = -0.707 eV per atom; crystal system = monoclinic; final energy = -0.132 hartree per atom
1.0
-0.8168 -3.0554 3.3216
6.3544 -4.1604 -2.2645
2.5719 10.6695 7.2805
Cs Ga Se
2 4 6
direct
0.3635 0.1719 0.7271 Cs
0.6365 0.8281 0.2729 Cs
0.2964 0.6268 0.5927 Ga
0.7036 0.3732 0.4073 Ga
0.9392 0.8267 0.8785 Ga
0.0608 0.1733 0.1215 Ga
0.2279 0.2762 0.4558 Se
0.0354 0.8393 0.0707 Se
0.3966 0.6704 0.7932 Se
0.7721 0.7238 0.5442 Se
0.6034 0.3296 0.2068 Se
0.9646 0.1607 0.9292 Se

***

CsGa2Se2 (PBE, optimized geometry); space group = I4/mmm (139); raw formation energy = -0.557 eV per atom; distance to the lowest polymorph of the same formula = 0 meV/atom; crystal system = tetragonal; final energy = -0.122 hartree per atom
1.0
-1.5213 4.2678 2.2324
-4.0920 -2.3800 1.7616
0.4597 -0.6992 7.3641
Cs Ga Se
1 2 2
direct
0.0000 0.0000 0.0000 Cs
0.7500 0.2500 0.5000 Ga
0.2500 0.7500 0.5000 Ga
0.3311 0.3311 0.3379 Se
0.6689 0.6689 0.6621 Se

***

Cs3Ga2Se4 (PBE, optimized geometry); space group = C2/c (15); raw formation energy = -0.935 eV per atom; crystal system = monoclinic; final energy = -0.126 hartree per atom
1.0
-0.7796 8.1923 0.4563
-4.3789 0.2717 8.3338
6.8625 1.4556 6.2840
Cs Ga Se
6 4 8
direct
0.9155 0.9968 0.2668 Cs
0.5845 0.7332 0.0032 Cs
0.0845 0.0032 0.7332 Cs
0.4155 0.2668 0.9968 Cs
0.2500 0.6032 0.3968 Cs
0.7500 0.3968 0.6032 Cs
0.4398 0.1724 0.4058 Ga
0.0602 0.5942 0.8276 Ga
0.5602 0.8276 0.5942 Ga
0.9398 0.4058 0.1724 Ga
0.4911 0.9306 0.3299 Se
0.0089 0.6701 0.0694 Se
0.5089 0.0694 0.6701 Se
0.9911 0.3299 0.9306 Se
0.1293 0.2671 0.3631 Se
0.3707 0.6369 0.7329 Se
0.8707 0.7329 0.6369 Se
0.6293 0.3631 0.2671 Se